Record 1
Computed, not measured: Tc2PtRh2 after structural relaxation at the PBE level of DFT.

Cell: 7.4623 7.4623 2.7219 Å, 90.00 90.00 90.00°
Atoms (fractional coordinates):
Tc 0.1725 0.3275 0.0000
Tc 0.3275 0.8275 0.0000
Tc 0.6725 0.1725 0.0000
Tc 0.8275 0.6725 0.0000
Pt 0.0000 0.0000 0.5000
Pt 0.5000 0.5000 0.5000
Rh 0.1236 0.6236 0.5000
Rh 0.3764 0.1236 0.5000
Rh 0.6236 0.8764 0.5000
Rh 0.8764 0.3764 0.5000

Summary:
The value obtained for the offset from the most stable computed form is 195 meV/atom.

---

Record 2
Computed, not measured: TcPtRh2 after structural relaxation at the PBE level of DFT.

Cell: 4.7542 4.7511 3.8701 Å, 66.02 65.93 48.05°
Atoms (fractional coordinates):
Tc 0.0000 0.0000 0.0000
Pt 0.5000 0.5000 0.5000
Rh 0.2500 0.2500 0.2500
Rh 0.7500 0.7500 0.7500

Summary:
The value obtained for the offset from the most stable computed form is 53 meV/atom.

---

Record 3
Computed, not measured: TcPtRh after structural relaxation at the PBE level of DFT.

Cell: 3.8671 6.1388 6.1388 Å, 37.26 90.00 90.00°
Atoms (fractional coordinates):
Tc 0.0000 0.0000 0.0000
Tc 0.5000 0.1577 0.1577
Pt 0.0000 0.3346 0.3346
Pt 0.0000 0.6577 0.6577
Rh 0.5000 0.5019 0.5019
Rh 0.5000 0.8273 0.8273

Summary:
The value obtained for the offset from the most stable computed form is 39 meV/atom.

---

Record 4
Computed, not measured: TcPtRh4 after structural relaxation at the PBE level of DFT.

Cell: 5.1683 5.1683 5.1683 Å, 131.41 117.29 83.12°
Atoms (fractional coordinates):
Tc 0.0000 0.0000 0.0000
Pt 0.5000 0.0000 0.5000
Rh 0.0907 0.3362 0.7546
Rh 0.4184 0.6638 0.7546
Rh 0.5816 0.3362 0.2454
Rh 0.9093 0.6638 0.2454

Summary:
The value obtained for the offset from the most stable computed form is 24 meV/atom.